1.
Material: LiZn
Method: DFT, PBE
State: optimized geometry

Calculated values
- formation energy (meV/atom) = 15.6
- volume (Å³/cell) = 546.85
- E_tot (eV for the cell shown) = -50.51

Cell: 7.3548 7.6178 9.7604 Å, 90.00 90.00 90.00°
Space group Fddd (No. 70, origin choice 2)
Inequivalent atoms, fractional coordinates:
Li: 0.1250 0.3004 0.1250 [16 per cell]
Zn: 0.0477 0.3750 0.8750 [16 per cell]



2.
Material: LiZn12
Method: DFT, PBE
State: optimized geometry

Calculated values
- formation energy (meV/atom) = -17.7
- distance to the lowest polymorph of the same formula (meV/atom) = 0
- volume (Å³/cell) = 409.75
- E_tot (eV for the cell shown) = -34.86

Cell: 8.8700 8.8700 5.2081 Å, 90.00 90.00 90.00°
Space group I4/mmm (No. 139)
Inequivalent atoms, fractional coordinates:
Li: 0.0000 0.0000 0.0000 [2 per cell]
Zn: 0.0000 0.2149 0.5000 [8 per cell]
Zn: 0.0000 0.3500 0.0000 [8 per cell]
Zn: 0.2500 0.2500 0.2500 [8 per cell]



3.
Material: Li13Zn3
Method: DFT, PBE
State: optimized geometry

Calculated values
- formation energy (meV/atom) = -74.2
- volume (Å³/cell) = 552.51
- E_tot (eV for the cell shown) = -59.78

Cell: 7.8248 8.4647 8.3416 Å, 90.00 90.00 90.00°
Space group Amm2 (No. 38)
Inequivalent atoms, fractional coordinates:
Li: 0.0000 0.0000 0.0000 [2 per cell]
Li: 0.0000 0.0000 0.4755 [2 per cell]
Li: 0.0000 0.2356 0.2383 [4 per cell]
Li: 0.2562 0.2456 0.9899 [8 per cell]
Li: 0.2593 0.0000 0.7493 [4 per cell]
Li: 0.5000 0.0000 0.4697 [2 per cell]
Li: 0.5000 0.2410 0.2388 [4 per cell]
Zn: 0.2520 0.0000 0.2317 [4 per cell]
Zn: 0.5000 0.0000 0.0033 [2 per cell]



4.
Material: Li7Zn3
Method: DFT, PBE
State: optimized geometry

Calculated values
- formation energy (meV/atom) = -108.1
- distance to the lowest polymorph of the same formula (meV/atom) = 0
- volume (Å³/cell) = 322.45
- E_tot (eV for the cell shown) = -36.60

Cell: 14.3724 4.1384 5.5594 Å, 90.00 102.80 90.00°
Space group C2/m (No. 12)
Inequivalent atoms, fractional coordinates:
Li: 0.0000 0.0000 0.0000 [2 per cell]
Li: 0.1003 0.5000 0.7913 [4 per cell]
Li: 0.1043 0.5000 0.2923 [4 per cell]
Li: 0.1986 0.0000 0.6002 [4 per cell]
Zn: 0.0000 0.0000 0.5000 [2 per cell]
Zn: 0.2059 0.0000 0.0958 [4 per cell]



5.
Material: LiZn
Method: DFT, PBE
State: optimized geometry

Calculated values
- formation energy (meV/atom) = -88.5
- volume (Å³/cell) = 91.64
- E_tot (eV for the cell shown) = -10.09

Cell: 2.7810 2.7810 13.6812 Å, 90.00 90.00 120.00°
Space group R-3m (No. 166, hexagonal axes)
Inequivalent atoms, fractional coordinates:
Li: 0.0000 0.0000 0.0000 [3 per cell]
Zn: 0.0000 0.0000 0.5000 [3 per cell]



6.
Material: LiZn6
Method: DFT, PBE
State: optimized geometry

Calculated values
- formation energy (meV/atom) = 493.4
- distance to the lowest polymorph of the same formula (meV/atom) = 501
- volume (Å³/cell) = 226.71
- E_tot (eV for the cell shown) = -6.10

Cell: 6.0975 6.0975 6.0975 Å, 90.00 90.00 90.00°
Space group Pm-3m (No. 221)
Inequivalent atoms, fractional coordinates:
Li: 0.0000 0.0000 0.0000 [1 per cell]
Zn: 0.1954 0.5000 0.5000 [6 per cell]



7.
Material: LiZn
Method: DFT, PBE
State: optimized geometry

Calculated values
- formation energy (meV/atom) = -47.1
- volume (Å³/cell) = 275.53
- E_tot (eV for the cell shown) = -26.26

Cell: 7.9266 7.9266 4.3852 Å, 90.00 90.00 90.00°
Space group P4/m (No. 83)
Inequivalent atoms, fractional coordinates:
Li: 0.0630 0.6601 0.0000 [4 per cell]
Li: 0.1102 0.2448 0.5000 [4 per cell]
Zn: 0.2428 0.5607 0.5000 [4 per cell]
Zn: 0.2892 0.3849 0.0000 [4 per cell]



8.
Material: Li8Zn
Method: DFT, PBE
State: optimized geometry

Calculated values
- formation energy (meV/atom) = -32.8
- volume (Å³/cell) = 332.31
- E_tot (eV for the cell shown) = -33.76

Cell: 9.5363 9.5363 3.6541 Å, 90.00 90.00 90.00°
Space group I4/mmm (No. 139)
Inequivalent atoms, fractional coordinates:
Li: 0.0000 0.3275 0.0000 [8 per cell]
Li: 0.1580 0.1580 0.5000 [8 per cell]
Zn: 0.0000 0.0000 0.0000 [2 per cell]



9.
Material: Li7Zn5
Method: DFT, PBE
State: optimized geometry

Calculated values
- formation energy (meV/atom) = -139.1
- distance to the lowest polymorph of the same formula (meV/atom) = 7
- volume (Å³/cell) = 377.51
- E_tot (eV for the cell shown) = -42.87

Cell: 11.7341 4.0263 8.9062 Å, 90.00 116.21 90.00°
Space group Cm (No. 8)
Inequivalent atoms, fractional coordinates:
Li: 0.0000 0.0000 0.0000 [2 per cell]
Li: 0.0052 0.5000 0.4850 [2 per cell]
Li: 0.0961 0.0000 0.7603 [2 per cell]
Li: 0.1605 0.0000 0.4861 [2 per cell]
Li: 0.2484 0.0000 0.2346 [2 per cell]
Li: 0.3261 0.5000 0.4907 [2 per cell]
Li: 0.4169 0.0000 0.7594 [2 per cell]
Zn: 0.0767 0.5000 0.2290 [2 per cell]
Zn: 0.1750 0.5000 0.0012 [2 per cell]
Zn: 0.2556 0.5000 0.7563 [2 per cell]
Zn: 0.3331 0.0000 0.0007 [2 per cell]
Zn: 0.4185 0.5000 0.2419 [2 per cell]



10.
Material: Li4Zn5
Method: DFT, PBE
State: optimized geometry

Calculated values
- formation energy (meV/atom) = -123.0
- distance to the lowest polymorph of the same formula (meV/atom) = 82
- volume (Å³/cell) = 267.63
- E_tot (eV for the cell shown) = -30.26

Cell: 7.6947 7.6947 5.2193 Å, 90.00 90.00 120.00°
Space group P6_3/mcm (No. 193)
Inequivalent atoms, fractional coordinates:
Li: 0.0000 0.0000 0.0000 [2 per cell]
Li: 0.0000 0.3183 0.2500 [6 per cell]
Zn: 0.0000 0.3510 0.7500 [6 per cell]
Zn: 0.3333 0.6667 0.0000 [4 per cell]



11.
Material: Li2Zn
Method: DFT, PBE
State: optimized geometry

Calculated values
- formation energy (meV/atom) = -104.6
- volume (Å³/cell) = 98.39
- E_tot (eV for the cell shown) = -10.83

Cell: 2.8757 2.8757 11.8973 Å, 90.00 90.00 90.00°
Space group I4/mmm (No. 139)
Inequivalent atoms, fractional coordinates:
Li: 0.0000 0.0000 0.1555 [4 per cell]
Zn: 0.0000 0.0000 0.5000 [2 per cell]



12.
Material: Li3Zn8
Method: DFT, PBE
State: optimized geometry

Calculated values
- formation energy (meV/atom) = -159.4
- volume (Å³/cell) = 316.30
- E_tot (eV for the cell shown) = -35.37

Cell: 7.5032 4.3479 10.0286 Å, 90.00 104.81 90.00°
Space group C2/m (No. 12)
Inequivalent atoms, fractional coordinates:
Li: 0.0000 0.0000 0.0000 [2 per cell]
Li: 0.0460 0.5000 0.6396 [4 per cell]
Zn: 0.0934 0.0000 0.2757 [4 per cell]
Zn: 0.1376 0.5000 0.9107 [4 per cell]
Zn: 0.1810 0.0000 0.5432 [4 per cell]
Zn: 0.2286 0.5000 0.1837 [4 per cell]